1.
Here is a geometry-optimized Pr3IrI structure from Alexandria. Energies are from PBE.

```
Pr3IrI
1.0
4.036 0.000 0.000
0.000 9.639 0.000
0.000 0.000 8.730
Pr Ir I
6 2 2
Direct
0.250 0.426 0.155
0.750 0.574 0.845
0.250 0.074 0.155
0.750 0.926 0.845
0.250 0.250 0.760
0.750 0.750 0.240
0.750 0.250 0.984
0.250 0.750 0.016
0.750 0.250 0.435
0.250 0.750 0.565
```

Computed properties:
Its total magnetization is 0.00 μB/f.u. The density of states at the Fermi level is 8.156 states/eV/cell. As for the space group: No. 59. As for the crystal system: orthorhombic. The energy relative to the elements, uncorrected comes out at -0.6296 eV per atom. Its volume is 339.67 Å³/cell. The value obtained for the density is 7.3 g/cm³.



2.
Here is a geometry-optimized Pr4Ir2I5 structure from Alexandria. Energies are from PBE.

```
Pr4Ir2I5
1.0
4.293 0.000 0.000
0.000 8.751 0.847
-2.147 -1.582 12.319
Pr Ir I
4 2 5
Direct
0.658 0.558 0.316
0.029 0.705 0.058
0.342 0.442 0.684
0.971 0.295 0.942
0.551 0.504 0.103
0.449 0.496 0.897
0.155 0.836 0.309
0.845 0.164 0.691
0.202 0.320 0.403
0.500 0.000 0.000
0.798 0.680 0.597
```

Computed properties:
Its total magnetization is 0.00 μB/f.u. The density of states at the Fermi level is 2.800 states/eV/cell. As for the space group: No. 12. As for the crystal system: monoclinic. The energy relative to the elements, uncorrected comes out at -0.9599 eV per atom. Its volume is 468.56 Å³/cell. The value obtained for the density is 5.6 g/cm³.



3.
Here is a geometry-optimized Pr4IrI5 structure from Alexandria. Energies are from PBE.

```
Pr4IrI5
1.0
4.288 0.000 0.000
0.000 9.244 -0.456
-2.144 -1.792 9.883
Pr Ir I
4 1 5
Direct
0.354 0.922 0.708
0.000 0.794 0.000
0.646 0.078 0.292
0.000 0.206 0.000
0.500 0.000 0.000
0.832 0.654 0.664
0.826 0.171 0.651
0.174 0.829 0.349
0.500 0.500 0.000
0.168 0.346 0.336
```

Computed properties:
Its total magnetization is 0.00 μB/f.u. The density of states at the Fermi level is 7.110 states/eV/cell. As for the space group: No. 12. As for the crystal system: monoclinic. The energy relative to the elements, uncorrected comes out at -1.2030 eV per atom. Its volume is 388.24 Å³/cell. The value obtained for the density is 5.9 g/cm³.



4.
Here is a geometry-optimized Pr8Ir3PtI4 structure from Alexandria. Energies are from PBE.

```
Pr8Ir3PtI4
1.0
-6.911 2.759 4.168
3.267 -3.949 8.032
5.154 5.581 -3.876
Pr Ir Pt I
8 3 1 4
Direct
0.232 0.685 0.954
0.232 0.685 0.463
0.271 0.315 0.543
0.722 0.685 0.954
0.278 0.315 0.046
0.729 0.685 0.457
0.768 0.315 0.537
0.768 0.315 0.046
0.500 0.500 0.000
0.500 0.500 0.500
0.000 0.500 0.500
0.000 0.500 0.000
0.500 0.000 0.000
0.500 0.000 0.500
0.000 0.000 0.000
0.000 0.000 0.500
```

Computed properties:
Its total magnetization is 0.00 μB/f.u. The density of states at the Fermi level is 6.377 states/eV/cell. As for the space group: No. 166. As for the crystal system: trigonal. The energy relative to the elements, uncorrected comes out at -1.0037 eV per atom. Its volume is 514.03 Å³/cell. The value obtained for the density is 7.8 g/cm³.



5.
Here is a geometry-optimized Pr8IrPt3I4 structure from Alexandria. Energies are from PBE.

```
Pr8IrPt3I4
1.0
-5.068 4.387 -5.361
-3.413 -8.209 -3.492
-0.683 1.171 8.475
Pr Ir Pt I
8 1 3 4
Direct
0.226 0.687 0.961
0.226 0.687 0.452
0.271 0.314 0.542
0.735 0.687 0.961
0.265 0.313 0.039
0.729 0.686 0.458
0.774 0.313 0.548
0.774 0.313 0.039
0.000 0.500 0.000
0.500 0.500 0.000
0.500 0.500 0.500
0.000 0.500 0.500
0.500 0.000 0.000
0.500 0.000 0.500
0.000 0.000 0.000
0.000 0.000 0.500
```

Computed properties:
Its total magnetization is 0.00 μB/f.u. The density of states at the Fermi level is 11.069 states/eV/cell. As for the space group: No. 166. As for the crystal system: trigonal. The energy relative to the elements, uncorrected comes out at -1.0822 eV per atom. Its volume is 520.68 Å³/cell. The value obtained for the density is 7.7 g/cm³.



6.
Here is a geometry-optimized Pr4IrPtI2 structure from Alexandria. Energies are from PBE.

```
Pr4IrPtI2
1.0
-3.346 1.828 -1.943
3.100 -1.342 -6.601
-4.813 -6.787 1.905
Pr Ir Pt I
4 1 1 2
Direct
0.500 0.223 0.185
0.500 0.777 0.815
0.000 0.265 0.815
0.000 0.735 0.185
0.000 0.000 0.000
0.500 0.500 0.000
0.500 0.000 0.500
0.000 0.500 0.500
```

Computed properties:
Its total magnetization is 0.00 μB/f.u. The density of states at the Fermi level is 4.551 states/eV/cell. As for the space group: No. 10. As for the crystal system: monoclinic. The energy relative to the elements, uncorrected comes out at -1.0446 eV per atom. Its volume is 259.16 Å³/cell. The value obtained for the density is 7.7 g/cm³.



7.
Here is a geometry-optimized PrPuIrI structure from Alexandria. Energies are from PBE.

```
PrPuIrI
1.0
4.134 -0.001 0.000
-2.067 3.581 0.000
-2.067 -1.193 8.157
Pr Pu Ir I
1 1 1 1
Direct
0.509 0.152 0.676
0.091 0.943 0.049
0.311 0.553 0.880
0.968 0.382 0.364
```

Computed properties:
Its total magnetization is 5.16 μB/f.u. The density of states at the Fermi level is 10.351 states/eV/cell. As for the space group: No. 160. As for the crystal system: trigonal. The energy relative to the elements, uncorrected comes out at -0.7499 eV per atom. Its volume is 120.73 Å³/cell. The value obtained for the density is 9.7 g/cm³.



8.
Here is a geometry-optimized Pr4IrRhI2 structure from Alexandria. Energies are from PBE.

```
Pr4IrRhI2
1.0
4.227 0.000 0.000
0.000 7.316 0.124
0.000 -2.572 8.160
Pr Ir Rh I
4 1 1 2
Direct
0.500 0.227 0.185
0.500 0.773 0.815
0.000 0.271 0.815
0.000 0.729 0.185
0.000 0.000 0.000
0.500 0.500 0.000
0.500 0.000 0.500
0.000 0.500 0.500
```

Computed properties:
Its total magnetization is 0.00 μB/f.u. The density of states at the Fermi level is 1.646 states/eV/cell. As for the space group: No. 10. As for the crystal system: monoclinic. The energy relative to the elements, uncorrected comes out at -0.9487 eV per atom. Its volume is 253.67 Å³/cell. The value obtained for the density is 7.3 g/cm³.